This record from OQMD describes an optimized crystal structure of KThZn. The functional is PBE.

Space group ... No. 216
Polymorph energy (0 for the lowest one) ... 0.00 kJ per mole of atoms

Cell: 5.200 5.200 5.200 Å, 60.00 60.00 60.00°
Sites, in units of the cell vectors:
Zn (0.000, 0.000, 0.000)
K (0.250, 0.250, 0.250)
Th (0.750, 0.750, 0.750)

---

This record from OQMD describes an optimized crystal structure of PrSb2. The functional is PBE.

Space group ... No. 64

Cell: 4.426 4.426 18.508 Å, 90.00 90.00 88.69°
Sites, in units of the cell vectors:
Pr (0.138, 0.862, 0.889)
Pr (0.362, 0.638, 0.389)
Pr (0.862, 0.138, 0.111)
Pr (0.638, 0.362, 0.611)
Sb (0.134, 0.866, 0.563)
Sb (0.866, 0.134, 0.437)
Sb (0.876, 0.624, 0.250)
Sb (0.366, 0.634, 0.063)
Sb (0.124, 0.376, 0.750)
Sb (0.376, 0.124, 0.250)
Sb (0.624, 0.876, 0.750)
Sb (0.634, 0.366, 0.937)

---

This record from OQMD describes an optimized crystal structure of BePt2Au2. The functional is PBE.

Space group ... No. 127

Cell: 5.950 5.950 4.567 Å, 90.00 90.00 90.00°
Sites, in units of the cell vectors:
Be (0.000, 0.000, 0.000)
Be (0.500, 0.500, 0.000)
Au (0.168, 0.668, 0.500)
Au (0.332, 0.168, 0.500)
Au (0.668, 0.832, 0.500)
Au (0.832, 0.332, 0.500)
Pt (0.154, 0.346, 0.000)
Pt (0.346, 0.846, 0.000)
Pt (0.846, 0.654, 0.000)
Pt (0.654, 0.154, 0.000)

---

DFT total energy in eV per atom, matching the order above: -2.495, -5.154, -4.601